A plane-wave DFT calculation with PBE was carried out for crystalline Rb2BPbSe4 at its relaxed geometry.

```
16
Lattice="6.553 0.000 0.000 3.276 7.134 0.000 3.276 0.000 12.339" Properties=species:S:1:pos:R:3 pbc="T T T"
Rb 8.191 3.567 10.682
Rb 8.191 3.567 1.657
Rb 6.553 0.000 4.513
Rb 3.276 0.000 7.827
B 4.915 3.567 6.170
B 3.276 0.000 0.000
Pb 8.191 3.567 6.170
Pb 0.000 0.000 0.000
Se 6.063 4.839 4.928
Se 6.063 2.295 7.411
Se 3.767 2.295 4.928
Se 5.405 1.272 11.098
Se 4.424 1.272 1.241
Se 10.319 4.839 7.411
Se 5.405 5.863 1.241
Se 10.977 5.863 11.098
```

Computed properties:
The uncorrected formation energy is -0.51 eV per atom. The size of the total moment is 0.90 μB per cell.